Entry 1:
First-principles (GGA-PBEsol) data for a geometry-optimized Cu4Ni structure, as listed in Alexandria.

Symmetry: No. 87
Uncorrected energy (eV/cell): -23.46

Unit cell a=3.552 b=4.321 c=4.321 alpha=80.28 beta=65.73 gamma=65.73
Fractional positions:
Ni 0.000 0.000 0.000
Cu 0.201 0.400 0.198
Cu 0.399 0.802 0.400
Cu 0.799 0.600 0.802
Cu 0.601 0.198 0.600

=====

Entry 2:
First-principles (GGA-PBEsol) data for a geometry-optimized CuNi3 structure, as listed in Alexandria.

Symmetry: No. 139
Uncorrected energy (eV/cell): -22.68

Unit cell a=3.486 b=3.486 c=4.257 alpha=114.17 beta=114.17 gamma=90.00
Site moments in Bohr magnetons follow the coordinates.
Fractional positions:
Ni 0.500 0.500 0.000  0.53
Ni 0.250 0.750 0.500  0.51
Ni 0.750 0.250 0.500  0.51
Cu 0.000 0.000 0.000  0.01

=====

Entry 3:
First-principles (GGA-PBEsol) data for a geometry-optimized CuNi5 structure, as listed in Alexandria.

Energy relative to the lowest polymorph listed for this composition (meV per atom): 0.0
Symmetry: No. 123

Unit cell a=2.456 b=2.456 c=10.429 alpha=90.00 beta=90.00 gamma=90.00
Site moments in Bohr magnetons follow the coordinates.
Fractional positions:
Ni 0.500 0.500 0.665  0.62
Ni 0.500 0.500 0.335  0.62
Ni 0.000 0.000 0.828  0.49
Ni 0.000 0.000 0.500  0.67
Ni 0.000 0.000 0.172  0.49
Cu 0.500 0.500 0.000  0.01

=====

Entry 4:
First-principles (GGA-PBEsol) data for a geometry-optimized CuNiO2 structure, as listed in Alexandria.

Symmetry: No. 12
ΔE_f (raw) (eV per atom): -0.586

Unit cell a=2.812 b=2.971 c=5.212 alpha=78.73 beta=74.35 gamma=61.76
Site moments in Bohr magnetons follow the coordinates.
Fractional positions:
O 0.598 0.086 0.718  0.06
O 0.402 0.914 0.282  -0.19
Cu 0.000 0.000 0.000  0.06
Ni 0.000 0.500 0.500  0.99

=====

Entry 5:
First-principles (GGA-PBEsol) data for a geometry-optimized CuNi9O10 structure, as listed in Alexandria.

Symmetry: No. 2
ΔE_f (raw) (eV per atom): -0.579

Unit cell a=5.054 b=5.792 c=6.505 alpha=102.37 beta=97.53 gamma=106.96
Site moments in Bohr magnetons follow the coordinates.
Fractional positions:
Ni 0.400 0.300 0.801  -1.23
Ni 0.800 0.100 0.600  -1.22
Ni 0.201 0.400 0.398  1.20
Ni 0.600 0.700 0.199  -1.23
Ni 0.397 0.799 0.799  1.15
Ni 0.200 0.900 0.400  -1.22
Ni 0.000 0.000 0.000  1.24
Ni 0.603 0.201 0.201  1.15
Ni 0.799 0.600 0.602  1.20
O 0.306 0.859 0.105  0.01
O 0.694 0.141 0.895  0.01
O 0.105 0.450 0.691  0.03
O 0.101 0.949 0.700  0.00
O 0.691 0.655 0.896  0.01
O 0.309 0.345 0.104  0.01
O 0.895 0.550 0.309  0.03
O 0.501 0.751 0.497  0.00
O 0.899 0.051 0.300  0.00
O 0.499 0.249 0.503  0.00
Cu 0.000 0.500 0.000  -0.25

=====

Entry 6:
First-principles (GGA-PBEsol) data for a geometry-optimized CuNi3O4 structure, as listed in Alexandria.

Energy relative to the lowest polymorph listed for this composition (meV per atom): 0.0
Symmetry: No. 166
ΔE_f (raw) (eV per atom): -0.556

Unit cell a=2.913 b=2.913 c=9.682 alpha=81.35 beta=81.35 gamma=60.00
Site moments in Bohr magnetons follow the coordinates.
Fractional positions:
O 0.621 0.621 0.136  0.07
O 0.875 0.875 0.376  -0.01
O 0.125 0.125 0.624  -0.01
O 0.379 0.379 0.864  0.07
Ni 0.249 0.249 0.252  1.12
Ni 0.500 0.500 0.500  -1.19
Ni 0.751 0.751 0.748  1.12
Cu 0.000 0.000 0.000  -0.24

=====

Entry 7:
First-principles (GGA-PBEsol) data for a geometry-optimized CuNi3O4 structure, as listed in Alexandria.

Energy relative to the lowest polymorph listed for this composition (meV per atom): 37.8
Symmetry: No. 65
ΔE_f (raw) (eV per atom): -0.519

Unit cell a=2.837 b=5.252 c=5.252 alpha=114.87 beta=90.00 gamma=90.00
Site moments in Bohr magnetons follow the coordinates.
Fractional positions:
O 0.000 0.716 0.284  0.10
O 0.500 0.245 0.245  0.07
O 0.000 0.284 0.716  0.10
O 0.500 0.755 0.755  0.07
Cu 0.000 0.000 0.000  -0.18
Ni 0.500 0.500 0.000  0.80
Ni 0.500 0.000 0.500  0.80
Ni 0.000 0.500 0.500  0.87

=====

Entry 8:
First-principles (GGA-PBEsol) data for a geometry-optimized Ti3Cu2NiP6O24 structure, as listed in Alexandria.

Symmetry: No. 146
ΔE_f (raw) (eV per atom): -2.138

Unit cell a=8.425 b=8.425 c=8.425 alpha=60.87 beta=60.87 gamma=60.87
Site moments in Bohr magnetons follow the coordinates.
Fractional positions:
O 0.511 0.886 0.674  0.01
O 0.886 0.674 0.511  0.01
O 0.572 0.758 0.408  0.03
O 0.999 0.816 0.620  0.01
O 0.382 0.987 0.190  0.10
O 0.914 0.262 0.046  0.10
O 0.243 0.591 0.439  0.02
O 0.318 0.493 0.119  0.00
O 0.083 0.737 0.953  0.04
O 0.439 0.243 0.591  0.02
O 0.758 0.408 0.572  0.03
O 0.493 0.119 0.318  0.00
O 0.620 0.999 0.816  0.01
O 0.591 0.439 0.243  0.02
O 0.987 0.190 0.382  0.10
O 0.408 0.572 0.758  0.03
O 0.737 0.953 0.083  0.04
O 0.262 0.046 0.914  0.10
O 0.119 0.318 0.493  0.00
O 0.816 0.620 0.999  0.01
O 0.190 0.382 0.987  0.10
O 0.674 0.511 0.886  0.01
O 0.953 0.083 0.737  0.04
O 0.046 0.914 0.262  0.10
Ni 0.141 0.141 0.141  1.87
Ti 0.643 0.643 0.643  0.01
Ti 0.357 0.357 0.357  -0.01
Ti 0.859 0.859 0.859  0.00
P 0.957 0.248 0.540  0.01
P 0.248 0.540 0.957  0.01
P 0.455 0.045 0.752  0.00
P 0.752 0.455 0.045  0.00
P 0.045 0.752 0.455  0.00
P 0.540 0.957 0.248  0.01
Cu 0.001 0.001 0.001  0.58
Cu 0.501 0.501 0.501  0.50

=====

Entry 9:
First-principles (GGA-PBEsol) data for a geometry-optimized V3Cu2NiP6O24 structure, as listed in Alexandria.

Symmetry: No. 146
ΔE_f (raw) (eV per atom): -1.950

Unit cell a=8.383 b=8.383 c=8.383 alpha=60.65 beta=60.65 gamma=60.65
Site moments in Bohr magnetons follow the coordinates.
Fractional positions:
O 0.440 0.241 0.585  -0.01
O 0.580 0.758 0.410  -0.01
O 0.952 0.079 0.735  0.00
O 0.377 0.981 0.201  0.05
O 0.520 0.883 0.667  -0.01
O 0.241 0.585 0.440  -0.01
O 0.806 0.628 0.003  -0.01
O 0.003 0.806 0.628  -0.01
O 0.758 0.410 0.580  -0.01
O 0.495 0.127 0.311  0.00
O 0.201 0.377 0.981  0.05
O 0.127 0.311 0.495  0.00
O 0.735 0.952 0.079  0.00
O 0.079 0.735 0.952  0.00
O 0.628 0.003 0.806  -0.01
O 0.981 0.201 0.377  0.05
O 0.038 0.914 0.269  0.05
O 0.269 0.038 0.914  0.05
O 0.311 0.495 0.127  0.00
O 0.667 0.520 0.883  -0.01
O 0.883 0.667 0.520  -0.01
O 0.585 0.440 0.241  -0.01
O 0.410 0.580 0.758  -0.01
O 0.914 0.269 0.038  0.05
P 0.749 0.460 0.041  0.01
P 0.248 0.538 0.959  0.01
P 0.460 0.041 0.749  0.01
P 0.041 0.749 0.460  0.01
P 0.959 0.248 0.538  0.01
P 0.538 0.959 0.248  0.01
Ni 0.139 0.139 0.139  1.59
V 0.860 0.860 0.860  0.71
V 0.642 0.642 0.642  0.58
V 0.359 0.359 0.359  0.45
Cu 0.002 0.002 0.002  0.27
Cu 0.502 0.502 0.502  -0.22

=====

Entry 10:
First-principles (GGA-PBEsol) data for a geometry-optimized Cu2NiSnO4 structure, as listed in Alexandria.

Symmetry: No. 10
ΔE_f (raw) (eV per atom): -0.901

Unit cell a=3.148 b=5.294 c=6.016 alpha=107.51 beta=90.00 gamma=90.00
Site moments in Bohr magnetons follow the coordinates.
Fractional positions:
Cu 0.000 0.000 0.000  0.02
Cu 0.500 0.500 0.000  0.05
Sn 0.500 0.000 0.500  -0.01
O 0.500 0.604 0.320  0.13
O 0.000 0.892 0.683  0.06
O 0.500 0.396 0.680  0.13
O 0.000 0.108 0.317  0.06
Ni 0.000 0.500 0.500  1.50

=====

Entry 11:
First-principles (GGA-PBEsol) data for a geometry-optimized V2Cu3NiO6 structure, as listed in Alexandria.

Symmetry: No. 12
ΔE_f (raw) (eV per atom): -1.327

Unit cell a=4.962 b=4.962 c=6.066 alpha=97.81 beta=97.81 gamma=120.05
Site moments in Bohr magnetons follow the coordinates.
Fractional positions:
O 0.771 0.443 0.814  0.07
O 0.110 0.105 0.814  0.07
O 0.557 0.229 0.186  0.07
O 0.235 0.568 0.186  0.07
O 0.895 0.890 0.186  0.07
O 0.432 0.765 0.814  0.07
Cu 0.997 0.003 0.500  0.05
Cu 0.333 0.667 0.500  0.05
Cu 0.669 0.331 0.500  0.05
V 0.500 0.500 0.000  1.36
V 0.166 0.834 0.000  1.36
Ni 0.833 0.167 0.000  1.44

=====

Entry 12:
First-principles (GGA-PBEsol) data for a geometry-optimized ZrCuNiO2 structure, as listed in Alexandria.

Symmetry: No. 123
ΔE_f (raw) (eV per atom): -0.320

Unit cell a=3.726 b=3.726 c=4.281 alpha=90.00 beta=90.00 gamma=90.00
Fractional positions:
Zr 0.500 0.500 0.500
Ni 0.000 0.000 0.500
O 0.000 0.500 0.000
O 0.500 0.000 0.000
Cu 0.000 0.000 0.000

=====

Entry 13:
First-principles (GGA-PBEsol) data for a geometry-optimized CuNi6Os structure, as listed in Alexandria.

Symmetry: No. 65
Uncorrected energy (eV/cell): -211.74

Unit cell a=6.096 b=6.096 c=9.964 alpha=90.00 beta=90.00 gamma=109.37
Site moments in Bohr magnetons follow the coordinates.
Fractional positions:
Ni 0.000 0.000 0.000  0.04
Ni 0.374 0.124 0.374  0.04
Ni 0.500 0.500 0.000  0.09
Ni 0.876 0.626 0.626  0.04
Ni 0.876 0.626 0.374  0.04
Ni 0.000 0.000 0.500  0.04
Ni 0.751 0.249 0.251  0.05
Ni 0.751 0.249 0.749  0.05
Ni 0.374 0.124 0.626  0.04
Ni 0.249 0.751 0.749  0.05
Ni 0.126 0.375 0.124  0.07
Ni 0.500 0.500 0.500  0.07
Ni 0.626 0.876 0.626  0.04
Ni 0.124 0.374 0.626  0.04
Ni 0.625 0.874 0.876  0.07
Ni 0.124 0.374 0.374  0.04
Ni 0.625 0.874 0.124  0.07
Ni 0.375 0.126 0.124  0.07
Ni 0.874 0.625 0.124  0.07
Ni 0.375 0.126 0.876  0.07
Ni 0.126 0.375 0.876  0.07
Ni 0.626 0.876 0.374  0.04
Ni 0.249 0.751 0.251  0.05
Ni 0.874 0.625 0.876  0.07
Os 0.749 0.251 0.500  0.12
Os 0.000 0.000 0.242  0.08
Os 0.000 0.000 0.758  0.08
Os 0.251 0.749 0.500  0.12
Cu 0.500 0.500 0.752  0.00
Cu 0.251 0.749 0.000  0.00
Cu 0.500 0.500 0.248  0.00
Cu 0.749 0.251 0.000  0.00

=====

Entry 14:
First-principles (GGA-PBEsol) data for a geometry-optimized CuNiOs2 structure, as listed in Alexandria.

Energy relative to the lowest polymorph listed for this composition (meV per atom): 202.6
Symmetry: No. 47

Unit cell a=2.718 b=4.332 c=4.384 alpha=90.00 beta=90.00 gamma=90.00
Fractional positions:
Cu 0.500 0.500 0.000
Os 0.000 0.000 0.000
Os 0.500 0.000 0.500
Ni 0.000 0.500 0.500

=====

Entry 15:
First-principles (GGA-PBEsol) data for a geometry-optimized CuNiOs2 structure, as listed in Alexandria.

Energy relative to the lowest polymorph listed for this composition (meV per atom): 0.0
Symmetry: No. 166

Unit cell a=2.637 b=2.637 c=8.558 alpha=81.14 beta=81.14 gamma=60.00
Fractional positions:
Cu 0.500 0.500 0.500
Ni 0.000 0.000 0.000
Os 0.748 0.748 0.756
Os 0.252 0.252 0.244

=====

Entry 16:
First-principles (GGA-PBEsol) data for a geometry-optimized CuNiP2 structure, as listed in Alexandria.

Symmetry: No. 47
Uncorrected energy (eV/cell): -21.82

Unit cell a=2.739 b=3.317 c=5.361 alpha=90.00 beta=90.00 gamma=90.00
Fractional positions:
P 0.000 0.000 0.728
P 0.000 0.000 0.272
Cu 0.500 0.500 0.000
Ni 0.500 0.500 0.500

=====

Entry 17:
First-principles (GGA-PBEsol) data for a geometry-optimized Cu2NiP structure, as listed in Alexandria.

Symmetry: No. 139
Uncorrected energy (eV/cell): -21.03

Unit cell a=3.421 b=3.421 c=4.484 alpha=112.42 beta=112.42 gamma=90.00
Fractional positions:
Ni 0.500 0.500 0.000
Cu 0.250 0.750 0.500
Cu 0.750 0.250 0.500
P 0.000 0.000 0.000

=====

Entry 18:
First-principles (GGA-PBEsol) data for a geometry-optimized CuNiP2 structure, as listed in Alexandria.

Symmetry: No. 25
Uncorrected energy (eV/cell): -22.09

Unit cell a=2.583 b=3.738 c=5.062 alpha=90.00 beta=90.00 gamma=90.00
Fractional positions:
Ni 0.500 0.500 0.793
P 0.500 0.500 0.311
P 0.000 0.000 0.931
Cu 0.000 0.000 0.465

=====

Entry 19:
First-principles (GGA-PBEsol) data for a geometry-optimized CuNiP structure, as listed in Alexandria.

Symmetry: No. 216
Uncorrected energy (eV/cell): -17.13

Unit cell a=3.739 b=3.739 c=3.739 alpha=60.00 beta=60.00 gamma=60.00
Fractional positions:
P 0.250 0.250 0.250
Cu 0.000 0.000 0.000
Ni 0.500 0.500 0.500

=====

Entry 20:
First-principles (GGA-PBEsol) data for a geometry-optimized CuNiP2 structure, as listed in Alexandria.

Symmetry: No. 12
Uncorrected energy (eV/cell): -22.35

Unit cell a=2.891 b=3.777 c=5.019 alpha=102.48 beta=90.00 gamma=112.50
Fractional positions:
P 0.244 0.487 0.229
P 0.756 0.513 0.771
Cu 0.000 0.000 0.500
Ni 0.500 0.000 0.000